A plane-wave DFT calculation with GGA-PBE was carried out for a geometry-optimized LiAgO2 structure.

Computed properties:
uncorrected formation energy: -30.8 kJ/mol of atoms

Cell: 6.3837 6.3837 6.3837 Å, 26.23 26.23 26.23°
Closest atoms and distances in Å follow each position.
Atoms (fractional coordinates):
O  0.8954  0.8954  0.8954  1 Ag 1.93, 3 Li 2.03
O  0.1046  0.1046  0.1046  1 Ag 1.93, 3 Li 2.03
Ag  0.0000  0.0000  0.0000  2 O 1.93
Li  0.5000  0.5000  0.5000  6 O 2.03



A plane-wave DFT calculation with GGA-PBE was carried out for a geometry-optimized Pm3Mg7 structure.

Computed properties:
E_tot: -26.2 eV/cell

Cell: 5.1059 6.6208 8.9037 Å, 111.59 106.66 90.00°
Closest atoms and distances in Å follow each position.
Atoms (fractional coordinates):
Pm  0.0000  0.0000  0.0000  12 Mg 3.20-3.56
Pm  0.2078  0.7869  0.4156  8 Mg 3.17-3.44
Pm  0.7922  0.2131  0.5844  8 Mg 3.17-3.44
Mg  0.0000  0.5000  0.0000  4 Pm 3.31-3.32, 8 Mg 3.39-3.43
Mg  0.1987  0.2969  0.3974  3 Mg 3.13-3.15, 5 Pm 3.17-3.44
Mg  0.8013  0.7031  0.6026  3 Mg 3.13-3.15, 5 Pm 3.17-3.44
Mg  0.4104  0.1492  0.8208  5 Mg 3.14-3.39, 5 Pm 3.32-3.38
Mg  0.5896  0.8508  0.1792  5 Mg 3.14-3.39, 5 Pm 3.32-3.38
Mg  0.3909  0.6203  0.7817  8 Mg 3.13-3.43
Mg  0.6091  0.3797  0.2183  8 Mg 3.13-3.43



A plane-wave DFT calculation with GGA-PBE was carried out for a geometry-optimized Tb5TlTe4 structure.

Computed properties:
uncorrected formation energy: -111.7 kJ/mol of atoms

Cell: 6.1959 7.6078 7.6078 Å, 80.46 65.97 65.97°
Closest atoms and distances in Å follow each position.
Atoms (fractional coordinates):
Tb  0.9024  0.3911  0.8060  1 Tl 3.03, 5 Te 3.10-3.14
Tb  0.2935  0.8060  0.6089  1 Tl 3.03, 5 Te 3.10-3.14
Tb  0.7085  0.1940  0.3911  1 Tl 3.03, 5 Te 3.10-3.14
Tb  0.0996  0.6089  0.1940  1 Tl 3.03, 5 Te 3.10-3.14
Tb  0.5013  0.0000  0.0000  2 Tl 3.10, 4 Te 3.11
Tl  0.0013  0.0000  0.0000  6 Tb 3.03-3.10
Te  0.4043  0.3985  0.7947  6 Tb 3.10-3.14
Te  0.8028  0.7947  0.6015  6 Tb 3.10-3.14
Te  0.1990  0.2053  0.3985  6 Tb 3.10-3.14
Te  0.5975  0.6015  0.2053  6 Tb 3.10-3.14



A plane-wave DFT calculation with GGA-PBE was carried out for a geometry-optimized TlCdHg2H structure.

Computed properties:
E_tot: -6.4 eV/cell

Cell: 5.5697 5.5697 3.8119 Å, 90.00 90.00 90.00°
Closest atoms and distances in Å follow each position.
Atoms (fractional coordinates):
H  0.0000  0.0000  0.0000  2 Cd 1.91
Tl  0.5000  0.5000  0.5000  8 Hg 3.37
Hg  0.0000  0.5000  0.0000  2 H 2.78
Hg  0.5000  0.0000  0.0000  2 H 2.78
Cd  0.0000  0.0000  0.5000  2 H 1.91



A plane-wave DFT calculation with GGA-PBE was carried out for a geometry-optimized Cs2CuSeI6 structure.

Computed properties:
uncorrected formation energy: -60.0 kJ/mol of atoms

Cell: 8.2030 8.2030 8.2176 Å, 60.06 60.06 90.00°
Closest atoms and distances in Å follow each position.
Atoms (fractional coordinates):
Cs  0.7500  0.2500  0.5000  12 I 4.10-4.11
Cs  0.2500  0.7500  0.5000  12 I 4.10-4.11
I  0.2570  0.2570  0.4860  1 Cu 2.83, 1 Se 2.99
I  0.7430  0.7430  0.5140  1 Cu 2.83, 1 Se 2.99
I  0.2572  0.2572  0.0000  1 Cu 2.82, 1 Se 2.98
I  0.7428  0.7428  0.0000  1 Cu 2.82, 1 Se 2.98
I  0.7428  0.2572  0.0000  1 Cu 2.82, 1 Se 2.98
I  0.2572  0.7428  0.0000  1 Cu 2.82, 1 Se 2.98
Cu  0.5000  0.5000  0.0000  6 I 2.82-2.83
Se  0.0000  0.0000  0.0000  6 I 2.98-2.99



A plane-wave DFT calculation with GGA-PBE was carried out for a geometry-optimized Sr2LiNpS4 structure.

Computed properties:
uncorrected formation energy: -162.0 kJ/mol of atoms

Cell: 4.1371 7.0548 7.1006 Å, 109.14 90.00 90.00°
Closest atoms and distances in Å follow each position.
Atoms (fractional coordinates):
Sr  0.5000  0.0000  0.5000  6 S 2.96-2.97
Sr  0.0000  0.5000  0.5000  6 S 3.00-3.01
Li  0.5000  0.5000  0.0000  6 S 2.81-2.86
Np  0.0000  0.0000  0.0000  6 S 2.77-2.82
S  0.5000  0.2403  0.2276  1 Li 2.81, 2 Np 2.82, 3 Sr 2.96-3.01
S  0.5000  0.7597  0.7724  1 Li 2.81, 2 Np 2.82, 3 Sr 2.96-3.01
S  0.0000  0.2493  0.7693  1 Np 2.77, 2 Li 2.86, 3 Sr 2.97-3.00
S  0.0000  0.7507  0.2307  1 Np 2.77, 2 Li 2.86, 3 Sr 2.97-3.00



A plane-wave DFT calculation with GGA-PBE was carried out for a geometry-optimized LiErS2 structure.

Computed properties:
uncorrected formation energy: -173.4 kJ/mol of atoms

Cell: 3.8508 3.8508 6.9134 Å, 73.83 73.83 60.00°
Closest atoms and distances in Å follow each position.
Atoms (fractional coordinates):
Li  0.4916  0.4916  0.5253  6 S 2.68-2.96
Er  0.6684  0.6684  0.9947  6 S 2.69-2.73
S  0.0824  0.0824  0.7528  3 Li 2.68, 3 Er 2.73
S  0.2576  0.2576  0.2271  3 Er 2.69, 3 Li 2.96



A plane-wave DFT calculation with GGA-PBE was carried out for a geometry-optimized TbY2Zn structure.

Computed properties:
E_tot: -19.1 eV/cell

Cell: 3.5865 3.5865 10.5216 Å, 80.19 80.19 60.00°
Closest atoms and distances in Å follow each position.
Atoms (fractional coordinates):
Y  0.2612  0.2612  0.2163  3 Zn 3.04
Y  0.7388  0.7388  0.7837  3 Zn 3.04
Zn  0.0000  0.0000  0.0000  6 Y 3.04
Tb  0.5000  0.5000  0.5000  6 Y 3.58, 6 Tb 3.59



A plane-wave DFT calculation with GGA-PBE was carried out for a geometry-optimized NdUCrC3 structure.

Computed properties:
E_tot: -107.5 eV/cell

Cell: 3.7933 6.8832 7.0320 Å, 104.81 90.00 105.99°
Closest atoms and distances in Å follow each position.
Atoms (fractional coordinates):
Nd  0.3596  0.7193  0.9262  7 C 2.61-2.78
Nd  0.6404  0.2807  0.0738  7 C 2.61-2.78
U  0.6500  0.3001  0.5724  7 C 2.33-2.51
U  0.3500  0.6999  0.4276  7 C 2.33-2.51
Cr  0.9953  0.9906  0.2852  3 C 1.90-1.92
Cr  0.0047  0.0094  0.7148  3 C 1.90-1.92
C  0.8446  0.6893  0.2061  1 Cr 1.92
C  0.8318  0.6635  0.6286  1 Cr 2.21, 3 U 2.33-2.42
C  0.5047  0.0095  0.2843  2 Cr 1.90
C  0.1682  0.3365  0.3714  1 Cr 2.21, 3 U 2.33-2.42
C  0.4953  0.9905  0.7157  2 Cr 1.90
C  0.1554  0.3107  0.7939  1 Cr 1.92



A plane-wave DFT calculation with GGA-PBE was carried out for a geometry-optimized SmY8Tm3 structure.

Computed properties:
E_tot: -69.5 eV/cell

Cell: 7.1282 18.7726 14.6529 Å, 164.31 89.78 101.06°
Closest atoms and distances in Å follow each position.
Atoms (fractional coordinates):
Sm  0.0000  0.0000  0.0000  10 Y 3.54-3.59, 2 Tm 3.56
Y  0.3356  0.6711  0.0066  4 Tm 3.52-3.55, 7 Y 3.52-3.57, 1 Sm 3.59
Y  0.6644  0.3289  0.9934  4 Tm 3.52-3.55, 7 Y 3.52-3.57, 1 Sm 3.59
Y  0.3328  0.1655  0.9983  3 Tm 3.54-3.56, 7 Y 3.54-3.58, 2 Sm 3.55-3.56
Y  0.8329  0.1657  0.9986  2 Sm 3.54-3.56, 7 Y 3.54-3.58, 3 Tm 3.55-3.57
Y  0.8347  0.6695  0.0042  5 Tm 3.53-3.58, 7 Y 3.54-3.56
Y  0.1653  0.3305  0.9958  5 Tm 3.53-3.58, 7 Y 3.54-3.56
Y  0.1671  0.8343  0.0014  2 Sm 3.54-3.56, 7 Y 3.54-3.58, 3 Tm 3.55-3.57
Y  0.6672  0.8345  0.0017  3 Tm 3.54-3.56, 7 Y 3.54-3.58, 2 Sm 3.55-3.56
Tm  0.5000  0.0000  0.0000  10 Y 3.54-3.58, 2 Sm 3.56
Tm  0.5000  0.5000  0.0000  10 Y 3.52-3.57, 2 Tm 3.56
Tm  0.0000  0.5000  0.0000  10 Y 3.53-3.56, 2 Tm 3.56



A plane-wave DFT calculation with GGA-PBE was carried out for a geometry-optimized LiAcMg2 structure.

Computed properties:
E_tot: -9.3 eV/cell

Cell: 3.7012 3.7012 8.1935 Å, 90.00 90.00 90.00°
Closest atoms and distances in Å follow each position.
Atoms (fractional coordinates):
Ac  0.5000  0.5000  0.5000  8 Mg 3.62, 4 Ac 3.70
Mg  0.0000  0.0000  0.8051  4 Li 3.07, 1 Mg 3.19
Mg  0.0000  0.0000  0.1949  4 Li 3.07, 1 Mg 3.19
Li  0.5000  0.5000  0.0000  8 Mg 3.07



A plane-wave DFT calculation with GGA-PBE was carried out for a geometry-optimized Be3AgHg structure.

Computed properties:
E_tot: -9.7 eV/cell

Cell: 4.4452 4.4452 4.4452 Å, 90.00 90.00 90.00°
Closest atoms and distances in Å follow each position.
Atoms (fractional coordinates):
Be  0.0000  0.5000  0.0000  2 Hg 2.22
Be  0.0000  0.0000  0.5000  2 Hg 2.22
Be  0.5000  0.0000  0.0000  2 Hg 2.22
Hg  0.0000  0.0000  0.0000  6 Be 2.22
Ag  0.5000  0.5000  0.5000  12 Be 3.14